Crystalline Rb2BaTlF6 at its relaxed geometry, computed with PBE.

Output
- Space-group type: No. 225

a b c (Å): 6.9777 6.9777 6.9777
angles (deg): 60.00 60.00 60.00
Atoms (fractional coordinates):
1 Rb 0.2500 0.2500 0.2500
2 Rb 0.7500 0.7500 0.7500
3 Ba 0.0000 0.0000 0.0000
4 Tl 0.5000 0.5000 0.5000
5 F 0.2574 0.2574 0.7426
6 F 0.2574 0.7426 0.2574
7 F 0.2574 0.7426 0.7426
8 F 0.7426 0.2574 0.2574
9 F 0.7426 0.2574 0.7426
10 F 0.7426 0.7426 0.2574

=====

Crystalline RbBaTlF6 at its relaxed geometry, computed with PBE.

Output
- Space-group type: No. 163

a b c (Å): 6.7504 6.7504 9.8021
angles (deg): 90.00 90.00 120.00
Atoms (fractional coordinates):
1 Rb 0.0000 0.0000 0.0000
2 Rb 0.0000 0.0000 0.5000
3 Ba 0.3333 0.6667 0.2500
4 Ba 0.6667 0.3333 0.7500
5 Tl 0.3333 0.6667 0.7500
6 Tl 0.6667 0.3333 0.2500
7 F 0.0468 0.3919 0.6344
8 F 0.0468 0.6549 0.8656
9 F 0.3451 0.3919 0.8656
10 F 0.3451 0.9532 0.6344
11 F 0.3919 0.0468 0.1344
12 F 0.3919 0.3451 0.3656
13 F 0.6081 0.6549 0.6344
14 F 0.6081 0.9532 0.8656
15 F 0.6549 0.0468 0.3656
16 F 0.6549 0.6081 0.1344
17 F 0.9532 0.3451 0.1344
18 F 0.9532 0.6081 0.3656

=====

Crystalline RbBa2TlF8 at its relaxed geometry, computed with PBE.

Output
- Space-group type: No. 10

a b c (Å): 4.5254 8.6106 6.0488
angles (deg): 90.00 95.81 90.00
Atoms (fractional coordinates):
1 Rb 0.0000 0.0000 0.0000
2 Ba 0.5000 0.2518 0.5000
3 Ba 0.5000 0.7482 0.5000
4 Tl 0.0000 0.5000 0.0000
5 F 0.0400 0.3029 0.7599
6 F 0.0400 0.6971 0.7599
7 F 0.4319 0.5000 0.2143
8 F 0.4691 0.0000 0.7288
9 F 0.5309 0.0000 0.2712
10 F 0.5681 0.5000 0.7857
11 F 0.9600 0.3029 0.2401
12 F 0.9600 0.6971 0.2401

=====

Crystalline RbBa2TlF at its relaxed geometry, computed with PBE.

Output
- Space-group type: No. 123

a b c (Å): 5.7727 5.7727 5.4923
angles (deg): 90.00 90.00 90.00
Atoms (fractional coordinates):
1 Rb 0.0000 0.0000 0.0000
2 Ba 0.0000 0.5000 0.5000
3 Ba 0.5000 0.0000 0.5000
4 Tl 0.5000 0.5000 0.0000
5 F 0.0000 0.0000 0.5000

=====

Number 1: calculated total energy -44.175 eV/cell, total moment 1.0 μB per cell, formation energy without anion corrections -2.6723 eV per atom. Number 2: calculated total energy -81.939 eV/cell, total moment 0.0 μB per cell, formation energy without anion corrections -2.7206 eV per atom. Number 3: calculated total energy -58.240 eV/cell, total moment 0.0 μB per cell, formation energy without anion corrections -3.0075 eV per atom. Number 4: calculated total energy -14.765 eV/cell, total moment 0.0 μB per cell, formation energy without anion corrections -1.1429 eV per atom.